[1]
First-principles (PBE-GGA) data for a relaxed structure of Be6Ni5Rh, as listed in the Alexandria database.

```
data_Be6Ni5Rh
_space_group_name_H-M_alt 'C m m m'
_space_group_IT_number 65
_space_group_name_Hall '-C 2 2'
_cell_length_a 3.729
_cell_length_b 11.186
_cell_length_c 5.315
_cell_angle_alpha 90.00
_cell_angle_beta 90.00
_cell_angle_gamma 90.00
loop_
_atom_site_label
_atom_site_fract_x
_atom_site_fract_y
_atom_site_fract_z
Be1 0.000 0.000 0.244
Be2 0.000 0.331 0.247
Ni1 0.000 0.167 0.000
Ni2 0.000 0.170 0.500
Ni3 0.000 0.500 0.000
Rh1 0.000 0.500 0.500
```

Its formation energy is -0.517 eV per atom. The final energy is -5.4015 eV per atom. As for the total magnetization: 0.00 μB per atom.

***

[2]
First-principles (PBE-GGA) data for a relaxed structure of Na6Ag23, as listed in the Alexandria database.

```
data_Na6Ag23
_space_group_name_H-M_alt 'F m -3 m'
_space_group_IT_number 225
_space_group_name_Hall '-F 4 2 3'
_cell_length_a 13.490
_cell_length_b 13.490
_cell_length_c 13.490
_cell_angle_alpha 90.00
_cell_angle_beta 90.00
_cell_angle_gamma 90.00
loop_
_atom_site_label
_atom_site_fract_x
_atom_site_fract_y
_atom_site_fract_z
Na1 0.000 0.000 0.215
Ag1 0.000 0.000 0.500
Ag2 0.000 0.250 0.250
Ag3 0.120 0.120 0.380
Ag4 0.172 0.172 0.172
```

Its formation energy is 0.010 eV per atom. The final energy is -2.5247 eV per atom. As for the total magnetization: 0.00 μB per atom.

***

[3]
First-principles (PBE-GGA) data for a relaxed structure of SrHoTlHg, as listed in the Alexandria database.

```
data_SrHoTlHg
_space_group_name_H-M_alt 'P 4 m m'
_space_group_IT_number 99
_cell_length_a 3.843
_cell_length_b 3.843
_cell_length_c 7.962
_cell_angle_alpha 90.00
_cell_angle_beta 90.00
_cell_angle_gamma 90.00
loop_
_space_group_symop_operation_xyz
'x,y,z'
'-y,x,z'
'-x,-y,z'
'y,-x,z'
'-x,y,z'
'y,x,z'
'x,-y,z'
'-y,-x,z'
loop_
_atom_site_label
_atom_site_fract_x
_atom_site_fract_y
_atom_site_fract_z
Sr1 0.000 0.000 0.000
Ho1 0.000 0.000 0.519
Tl1 0.500 0.500 0.282
Hg1 0.500 0.500 0.726
```

Its energy above the most stable polymorph in this dataset is 0.0 meV per atom. Its formation energy is -0.444 eV per atom. The final energy is -2.6761 eV per atom. As for the total magnetization: 0.02 μB per atom.

***

[4]
First-principles (PBE-GGA) data for a relaxed structure of NbSi2H2, as listed in the Alexandria database.

```
data_NbSi2H2
_space_group_name_H-M_alt 'P 4/m b m'
_space_group_IT_number 127
_space_group_name_Hall '-P 4 2ab'
_cell_length_a 6.058
_cell_length_b 6.058
_cell_length_c 2.920
_cell_angle_alpha 90.00
_cell_angle_beta 90.00
_cell_angle_gamma 90.00
loop_
_atom_site_label
_atom_site_fract_x
_atom_site_fract_y
_atom_site_fract_z
Nb1 0.000 0.000 0.000
Si1 0.139 0.361 0.500
H1 0.215 0.715 0.000
```

The final energy is -5.3353 eV per atom. As for the total magnetization: 0.00 μB per atom.